The following is a GGA-PBE calculation of NaDyHg after structural relaxation, from OQMD.

a = 4.905 Å, b = 4.905 Å, c = 4.905 Å
α = 60.00°, β = 60.00°, γ = 60.00°
Sites, in units of the cell vectors:
Dy1 0.250 0.250 0.250
Hg1 0.750 0.750 0.750
Na1 0.000 0.000 0.000

Values from the calculation:
Total magnetization = 0.49 μB/f.u.
Raw total energy = -1.74 eV/atom
V = 83 Å³ per cell



The following is a GGA-PBE calculation of NaDyHgS3 after structural relaxation, from OQMD.

a = 12.480 Å, b = 3.990 Å, c = 11.586 Å
α = 90.00°, β = 90.00°, γ = 90.00°
Sites, in units of the cell vectors:
Dy1 0.053 0.750 0.168
Dy2 0.553 0.750 0.332
Dy3 0.447 0.250 0.668
Dy4 0.947 0.250 0.832
Hg1 0.767 0.250 0.206
Hg2 0.267 0.250 0.294
Hg3 0.733 0.750 0.706
Hg4 0.233 0.750 0.794
Na1 0.374 0.250 0.012
Na2 0.874 0.250 0.488
Na3 0.126 0.750 0.512
Na4 0.626 0.750 0.988
S1 0.926 0.250 0.078
S2 0.266 0.750 0.144
S3 0.563 0.250 0.161
S4 0.063 0.250 0.339
S5 0.766 0.750 0.356
S6 0.426 0.250 0.422
S7 0.574 0.750 0.578
S8 0.234 0.250 0.644
S9 0.937 0.750 0.661
S10 0.437 0.750 0.839
S11 0.734 0.250 0.856
S12 0.074 0.750 0.922

Values from the calculation:
Energy above the lowest structure with this stoichiometry = 9 meV/atom
Total magnetization = 0.00 μB/f.u.
Raw total energy = -4.27 eV/atom
V = 577 Å³ per cell



The following is a GGA-PBE calculation of NaDyHgS3 after structural relaxation, from OQMD.

a = 14.311 Å, b = 4.021 Å, c = 11.089 Å
α = 90.00°, β = 90.00°, γ = 90.00°
Sites, in units of the cell vectors:
Dy1 0.464 0.750 0.146
Dy2 0.964 0.750 0.354
Dy3 0.036 0.250 0.646
Dy4 0.536 0.250 0.854
Hg1 0.944 0.250 0.101
Hg2 0.444 0.250 0.399
Hg3 0.556 0.750 0.601
Hg4 0.056 0.750 0.899
Na1 0.713 0.750 0.196
Na2 0.213 0.750 0.304
Na3 0.787 0.250 0.696
Na4 0.287 0.250 0.804
S1 0.587 0.250 0.086
S2 0.067 0.750 0.131
S3 0.340 0.250 0.218
S4 0.840 0.250 0.282
S5 0.567 0.750 0.369
S6 0.087 0.250 0.414
S7 0.913 0.750 0.586
S8 0.433 0.250 0.631
S9 0.160 0.750 0.718
S10 0.660 0.750 0.782
S11 0.933 0.250 0.869
S12 0.413 0.750 0.914

Values from the calculation:
Energy above the lowest structure with this stoichiometry = 0 meV/atom
Total magnetization = 0.00 μB/f.u.
Raw total energy = -4.27 eV/atom
V = 638 Å³ per cell